Record 1
# Rb2SmSiO4 (PBE, relaxed)
data_Rb2SmSiO4
_symmetry_space_group_name_H-M 'F d d d'
_symmetry_Int_Tables_number 70
_cell_length_a 5.7676
_cell_length_b 12.7836
_cell_length_c 24.1656
_cell_angle_alpha 90.00
_cell_angle_beta 90.00
_cell_angle_gamma 90.00
loop_
_symmetry_equiv_pos_as_xyz
'x,y,z'
'-x,-y,-z'
'-x+1/4,-y+1/4,z'
'x+1/4,y+1/4,-z'
'x,-y+1/4,-z+1/4'
'-x,y+1/4,z+1/4'
'-x+1/4,y,-z+1/4'
'x+1/4,-y,z+1/4'
'x,y+1/2,z+1/2'
'-x,-y+1/2,-z+1/2'
'-x+1/4,-y+3/4,z+1/2'
'x+1/4,y+3/4,-z+1/2'
'x,-y+3/4,-z+3/4'
'-x,y+3/4,z+3/4'
'-x+1/4,y+1/2,-z+3/4'
'x+1/4,-y+1/2,z+3/4'
'x+1/2,y,z+1/2'
'-x+1/2,-y,-z+1/2'
'-x+3/4,-y+1/4,z+1/2'
'x+3/4,y+1/4,-z+1/2'
'x+1/2,-y+1/4,-z+3/4'
'-x+1/2,y+1/4,z+3/4'
'-x+3/4,y,-z+3/4'
'x+3/4,-y,z+3/4'
'x+1/2,y+1/2,z'
'-x+1/2,-y+1/2,-z'
'-x+3/4,-y+3/4,z'
'x+3/4,y+3/4,-z'
'x+1/2,-y+3/4,-z+1/4'
'-x+1/2,y+3/4,z+1/4'
'-x+3/4,y+1/2,-z+1/4'
'x+3/4,-y+1/2,z+1/4'
loop_
_atom_site_label
_atom_site_type_symbol
_atom_site_fract_x
_atom_site_fract_y
_atom_site_fract_z
_atom_site_occupancy
Rb1 Rb 0.1250 0.1250 0.3074 1
Sm1 Sm 0.1250 0.1250 0.1250 1
Si1 Si 0.1250 0.1250 0.6250 1
O1 O 0.0562 0.2982 0.8394 1
# Crystal system: orthorhombic
# Raw formation energy: -2.139 eV per atom



Record 2
# RbSiSnO2 (PBE, relaxed)
data_RbSiSnO2
_symmetry_space_group_name_H-M 'P 4/m m m'
_symmetry_Int_Tables_number 123
_symmetry_space_group_name_Hall '-P 4 2'
_cell_length_a 4.3742
_cell_length_b 4.3742
_cell_length_c 5.1892
_cell_angle_alpha 90.00
_cell_angle_beta 90.00
_cell_angle_gamma 90.00
loop_
_atom_site_label
_atom_site_type_symbol
_atom_site_fract_x
_atom_site_fract_y
_atom_site_fract_z
_atom_site_occupancy
Rb1 Rb 0.0000 0.0000 0.0000 1
Si1 Si 0.5000 0.5000 0.0000 1
Sn1 Sn 0.5000 0.5000 0.5000 1
O1 O 0.0000 0.5000 0.5000 1
# Crystal system: tetragonal
# Raw formation energy: -0.183 eV per atom



Record 3
# RbSiSnO5 (PBE, relaxed)
data_RbSiSnO5
_symmetry_space_group_name_H-M 'C 1 2/c 1'
_symmetry_Int_Tables_number 15
_symmetry_space_group_name_Hall '-C 2yc'
_cell_length_a 7.2663
_cell_length_b 9.7145
_cell_length_c 7.5384
_cell_angle_alpha 90.00
_cell_angle_beta 117.08
_cell_angle_gamma 90.00
loop_
_atom_site_label
_atom_site_type_symbol
_atom_site_fract_x
_atom_site_fract_y
_atom_site_fract_z
_atom_site_occupancy
Rb1 Rb 0.0000 0.1615 0.2500 1
Si1 Si 0.0000 0.2019 0.7500 1
Sn1 Sn 0.0000 0.5000 0.0000 1
O1 O 0.0000 0.4334 0.2500 1
O2 O 0.0748 0.2979 0.6144 1
O3 O 0.1885 0.0938 0.8863 1
# Crystal system: monoclinic
# Raw formation energy: -1.814 eV per atom



Record 4
# Rb2SrSiO (PBE, relaxed)
data_Rb2SrSiO
_symmetry_space_group_name_H-M 'P 4/m m m'
_symmetry_Int_Tables_number 123
_symmetry_space_group_name_Hall '-P 4 2'
_cell_length_a 6.6246
_cell_length_b 6.6246
_cell_length_c 3.8858
_cell_angle_alpha 90.00
_cell_angle_beta 90.00
_cell_angle_gamma 90.00
loop_
_atom_site_label
_atom_site_type_symbol
_atom_site_fract_x
_atom_site_fract_y
_atom_site_fract_z
_atom_site_occupancy
Rb1 Rb 0.0000 0.5000 0.0000 1
Sr1 Sr 0.0000 0.0000 0.5000 1
Si1 Si 0.5000 0.5000 0.5000 1
O1 O 0.5000 0.5000 0.0000 1
# Crystal system: tetragonal
# Raw formation energy: -0.069 eV per atom



Record 5
# RbTa2SiO (PBE, relaxed)
data_RbTa2SiO
_symmetry_space_group_name_H-M 'P 4/m m m'
_symmetry_Int_Tables_number 123
_symmetry_space_group_name_Hall '-P 4 2'
_cell_length_a 4.2512
_cell_length_b 4.2512
_cell_length_c 5.5087
_cell_angle_alpha 90.00
_cell_angle_beta 90.00
_cell_angle_gamma 90.00
loop_
_atom_site_label
_atom_site_type_symbol
_atom_site_fract_x
_atom_site_fract_y
_atom_site_fract_z
_atom_site_occupancy
Rb1 Rb 0.0000 0.0000 0.0000 1
Ta1 Ta 0.0000 0.5000 0.5000 1
Si1 Si 0.5000 0.5000 0.0000 1
O1 O 0.5000 0.5000 0.5000 1
# Crystal system: tetragonal
# Raw formation energy: 0.560 eV per atom



Record 6
# Rb2TbSiO4 (PBE, relaxed)
data_Rb2TbSiO4
_symmetry_space_group_name_H-M 'F d d d'
_symmetry_Int_Tables_number 70
_cell_length_a 5.6684
_cell_length_b 12.7652
_cell_length_c 23.9315
_cell_angle_alpha 90.00
_cell_angle_beta 90.00
_cell_angle_gamma 90.00
loop_
_symmetry_equiv_pos_as_xyz
'x,y,z'
'-x,-y,-z'
'-x+1/4,-y+1/4,z'
'x+1/4,y+1/4,-z'
'x,-y+1/4,-z+1/4'
'-x,y+1/4,z+1/4'
'-x+1/4,y,-z+1/4'
'x+1/4,-y,z+1/4'
'x,y+1/2,z+1/2'
'-x,-y+1/2,-z+1/2'
'-x+1/4,-y+3/4,z+1/2'
'x+1/4,y+3/4,-z+1/2'
'x,-y+3/4,-z+3/4'
'-x,y+3/4,z+3/4'
'-x+1/4,y+1/2,-z+3/4'
'x+1/4,-y+1/2,z+3/4'
'x+1/2,y,z+1/2'
'-x+1/2,-y,-z+1/2'
'-x+3/4,-y+1/4,z+1/2'
'x+3/4,y+1/4,-z+1/2'
'x+1/2,-y+1/4,-z+3/4'
'-x+1/2,y+1/4,z+3/4'
'-x+3/4,y,-z+3/4'
'x+3/4,-y,z+3/4'
'x+1/2,y+1/2,z'
'-x+1/2,-y+1/2,-z'
'-x+3/4,-y+3/4,z'
'x+3/4,y+3/4,-z'
'x+1/2,-y+3/4,-z+1/4'
'-x+1/2,y+3/4,z+1/4'
'-x+3/4,y+1/2,-z+1/4'
'x+3/4,-y+1/2,z+1/4'
loop_
_atom_site_label
_atom_site_type_symbol
_atom_site_fract_x
_atom_site_fract_y
_atom_site_fract_z
_atom_site_occupancy
Rb1 Rb 0.1250 0.1250 0.3063 1
Tb1 Tb 0.1250 0.1250 0.1250 1
Si1 Si 0.1250 0.1250 0.6250 1
O1 O 0.0606 0.2986 0.8391 1
# Crystal system: orthorhombic
# Raw formation energy: -2.180 eV per atom



Record 7
# Rb2TbSi2O6 (PBE, relaxed)
data_Rb2TbSi2O6
_symmetry_space_group_name_H-M 'C 1 2/m 1'
_symmetry_Int_Tables_number 12
_symmetry_space_group_name_Hall '-C 2y'
_cell_length_a 10.3185
_cell_length_b 5.9569
_cell_length_c 6.8868
_cell_angle_alpha 90.00
_cell_angle_beta 119.97
_cell_angle_gamma 90.00
loop_
_atom_site_label
_atom_site_type_symbol
_atom_site_fract_x
_atom_site_fract_y
_atom_site_fract_z
_atom_site_occupancy
Rb1 Rb 0.2178 0.0000 0.1539 1
Tb1 Tb 0.0000 0.0000 0.5000 1
Si1 Si 0.0731 0.5000 0.2200 1
O1 O 0.0140 0.2693 0.2739 1
O2 O 0.2452 0.5000 0.2752 1
# Crystal system: monoclinic
# Raw formation energy: -2.544 eV per atom



Record 8
# RbSiTcO6 (PBE, relaxed)
data_RbSiTcO6
_symmetry_space_group_name_H-M 'P 3'
_symmetry_Int_Tables_number 143
_symmetry_space_group_name_Hall 'P 3'
_cell_length_a 4.9913
_cell_length_b 4.9913
_cell_length_c 6.3710
_cell_angle_alpha 90.00
_cell_angle_beta 90.00
_cell_angle_gamma 120.00
loop_
_atom_site_label
_atom_site_type_symbol
_atom_site_fract_x
_atom_site_fract_y
_atom_site_fract_z
_atom_site_occupancy
Rb1 Rb 0.0000 0.0000 0.0000 1
Si1 Si 0.6667 0.3333 0.4575 1
Tc1 Tc 0.3333 0.6667 0.5055 1
O1 O 0.3966 0.0210 0.6405 1
O2 O 0.4122 0.4066 0.3125 1
# Crystal system: trigonal
# Raw formation energy: -1.764 eV per atom



Record 9
# RbSi2TeO8 (PBE, relaxed)
data_RbSi2TeO8
_symmetry_space_group_name_H-M 'C 1 2/m 1'
_symmetry_Int_Tables_number 12
_symmetry_space_group_name_Hall '-C 2y'
_cell_length_a 8.4070
_cell_length_b 5.3949
_cell_length_c 8.0667
_cell_angle_alpha 90.00
_cell_angle_beta 104.79
_cell_angle_gamma 90.00
loop_
_atom_site_label
_atom_site_type_symbol
_atom_site_fract_x
_atom_site_fract_y
_atom_site_fract_z
_atom_site_occupancy
Rb1 Rb 0.0000 0.0000 0.0000 1
Si1 Si 0.0952 0.5000 0.2967 1
Te1 Te 0.0000 0.0000 0.5000 1
O1 O 0.0120 0.2499 0.6763 1
O2 O 0.1281 0.5000 0.1072 1
O3 O 0.2348 0.0000 0.5471 1
# Crystal system: monoclinic
# Raw formation energy: -1.787 eV per atom



Record 10
# RbSiTeO6 (PBE, relaxed)
data_RbSiTeO6
_symmetry_space_group_name_H-M 'P -3 1 c'
_symmetry_Int_Tables_number 163
_symmetry_space_group_name_Hall '-P 3 2c'
_cell_length_a 5.0090
_cell_length_b 5.0090
_cell_length_c 13.0231
_cell_angle_alpha 90.00
_cell_angle_beta 90.00
_cell_angle_gamma 120.00
loop_
_atom_site_label
_atom_site_type_symbol
_atom_site_fract_x
_atom_site_fract_y
_atom_site_fract_z
_atom_site_occupancy
Rb1 Rb 0.0000 0.0000 0.0000 1
Si1 Si 0.3333 0.6667 0.2500 1
Te1 Te 0.3333 0.6667 0.7500 1
O1 O 0.0227 0.3909 0.1694 1
# Crystal system: trigonal
# Raw formation energy: -1.525 eV per atom



Record 11
# RbThSiO5 (PBE, relaxed)
data_RbThSiO5
_symmetry_space_group_name_H-M 'C 1 2/c 1'
_symmetry_Int_Tables_number 15
_symmetry_space_group_name_Hall '-C 2yc'
_cell_length_a 7.5631
_cell_length_b 10.0005
_cell_length_c 8.3610
_cell_angle_alpha 90.00
_cell_angle_beta 114.94
_cell_angle_gamma 90.00
loop_
_atom_site_label
_atom_site_type_symbol
_atom_site_fract_x
_atom_site_fract_y
_atom_site_fract_z
_atom_site_occupancy
Rb1 Rb 0.0000 0.1654 0.2500 1
Th1 Th 0.0000 0.5000 0.0000 1
Si1 Si 0.0000 0.1874 0.7500 1
O1 O 0.0000 0.4399 0.2500 1
O2 O 0.0718 0.2844 0.6275 1
O3 O 0.1799 0.0886 0.8768 1
# Crystal system: monoclinic
# Raw formation energy: -2.678 eV per atom



Record 12
# Rb2TiSi6O15 (PBE, relaxed)
data_Rb2TiSi6O15
_symmetry_space_group_name_H-M 'C 1 c 1'
_symmetry_Int_Tables_number 9
_symmetry_space_group_name_Hall 'C -2yc'
_cell_length_a 12.9388
_cell_length_b 7.4972
_cell_length_c 15.3930
_cell_angle_alpha 90.00
_cell_angle_beta 105.31
_cell_angle_gamma 90.00
loop_
_atom_site_label
_atom_site_type_symbol
_atom_site_fract_x
_atom_site_fract_y
_atom_site_fract_z
_atom_site_occupancy
Rb1 Rb 0.0000 0.1224 0.0000 1
Rb2 Rb 0.0204 0.3641 0.3322 1
Ti1 Ti 0.2847 0.2606 0.9239 1
Si1 Si 0.0601 0.1787 0.7645 1
Si2 Si 0.2245 0.4361 0.5630 1
Si3 Si 0.2378 0.0701 0.2730 1
Si4 Si 0.2885 0.0313 0.5855 1
Si5 Si 0.3273 0.4426 0.2671 1
Si6 Si 0.4971 0.1043 0.0758 1
O1 O 0.0437 0.2947 0.6723 1
O2 O 0.0986 0.4975 0.5507 1
O3 O 0.1076 0.0205 0.2481 1
O4 O 0.1378 0.2799 0.8490 1
O5 O 0.2235 0.2175 0.5548 1
O6 O 0.2363 0.1260 0.0169 1
O7 O 0.2412 0.2897 0.2813 1
O8 O 0.2703 0.4820 0.9845 1
O9 O 0.2861 0.0129 0.1890 1
O10 O 0.2971 0.4919 0.6627 1
O11 O 0.3029 0.0308 0.8629 1
O12 O 0.3392 0.3938 0.8361 1
O13 O 0.4174 0.0602 0.5904 1
O14 O 0.4376 0.2367 0.9961 1
O15 O 0.4448 0.3434 0.2879 1
# Crystal system: monoclinic
# Raw formation energy: -2.758 eV per atom